Computed, not measured: an optimized crystal structure of Tl3Ni5O12 at the PBE with a Hubbard U level of DFT.

Cell and atoms, written as CIF:
```
data_Tl3Ni5O12
_chemical_formula_sum 'Tl24 Ni40 O96'
_cell_length_a 12.419
_cell_length_b 12.419
_cell_length_c 12.419
_cell_angle_alpha 90.00
_cell_angle_beta 90.00
_cell_angle_gamma 90.00
_symmetry_space_group_name_H-M 'I a -3 d'
_symmetry_Int_Tables_number 230
_symmetry_space_group_name_Hall '-I 4bd 2c 3'
loop_
_atom_site_label
_atom_site_type_symbol
_atom_site_fract_x
_atom_site_fract_y
_atom_site_fract_z
Tl1 Tl 0.000 0.250 0.125
Ni1 Ni 0.000 0.000 0.000
Ni2 Ni 0.000 0.250 0.375
O1 O 0.027 0.051 0.651
```

E = -726.08 eV for the cell shown
Total magnetization = 88.0 μB per cell